{"formula": "Ba3LiCo2O6", "functional": "GGA+U", "state": "relaxed", "lattice_angstrom": [[-5.592, -0.546, 2.198], [1.747, -3.388, -4.676], [2.172, -4.846, 4.323]], "species": ["Ba", "Ba", "Ba", "Li", "Co", "Co", "O", "O", "O", "O", "O", "O"], "frac_coords": [[0.333, 0.667, 0.663], [0.667, 0.333, 0.337], [0.000, 0.000, 0.000], [0.000, 0.000, 0.500], [0.667, 0.333, 0.771], [0.333, 0.667, 0.229], [0.665, 0.832, 0.293], [0.168, 0.335, 0.293], [0.168, 0.832, 0.293], [0.832, 0.665, 0.707], [0.335, 0.168, 0.707], [0.832, 0.168, 0.707]], "dos_ef_per_ev_atom": 0.588, "sg": "P-3m1", "final_energy_ev_per_atom": -5.716}